(1)
## KBaSrSi2 (PBE)

Data for crystalline KBaSrSi2 at its relaxed geometry.

* formation energy (no corrections): 519 meV/atom
* SG: P4/mmm, No. 123
* DFT total energy: -0.19038 Ry per atom

abc: 5.759 5.715 5.759
angles: 90.00 90.00 90.00
Sites, in units of the cell vectors:
Si: 0.500 0.000 0.000
Si: 0.000 0.000 0.500
Ba: 0.500 0.500 0.500
Sr: 0.000 0.000 0.000
K: 0.000 0.500 0.000

(2)
## La2Pr3Er7 (PBE)

Data for crystalline La2Pr3Er7 at its relaxed geometry.

* formation enthalpy at 0 K: 0.095 eV/atom
* SG: P2/m, No. 10
* DFT total energy: -0.33682 Ry per atom

abc: 3.550 6.404 18.106
angles: 75.73 90.00 90.00
Sites, in units of the cell vectors:
Er: 0.000 0.565 0.162
Pr: 0.500 0.500 0.000
Er: 0.500 0.062 0.163
Er: 0.000 0.000 0.000
Pr: 0.000 0.882 0.659
Er: 0.500 0.938 0.837
La: 0.500 0.624 0.326
Pr: 0.000 0.118 0.341
Er: 0.500 0.246 0.499
Er: 0.500 0.754 0.501
Er: 0.000 0.435 0.838
La: 0.500 0.376 0.674

(3)
## Cd2MoPdI (PBE)

Data for crystalline Cd2MoPdI at its relaxed geometry.

* formation energy (no corrections): 920 meV/atom
* SG: P4/mmm, No. 123
* DFT total energy: -0.21761 Ry per atom

abc: 5.194 5.508 5.194
angles: 90.00 90.00 90.00
Sites, in units of the cell vectors:
Cd: 0.500 0.000 0.000
Pd: 0.000 0.000 0.000
I: 0.000 0.500 0.000
Mo: 0.500 0.500 0.500
Cd: 0.000 0.000 0.500

(4)
## MnCd2Br (PBE)

Data for crystalline MnCd2Br at its relaxed geometry.

* formation energy (no corrections): 206 meV/atom
* SG: P2/m, No. 10
* excess energy over the best structure of this formula in the dataset: 4.46 kcal/mol of atoms
* DFT total energy: -0.21769 Ry per atom

abc: 3.404 4.907 6.233
angles: 61.02 90.00 90.00
Sites, in units of the cell vectors:
Br: 0.000 0.000 0.500
Mn: 0.500 0.500 0.500
Cd: 0.500 0.500 0.000
Cd: 0.000 0.000 0.000

(5)
## Mg2TlPd4 (PBE)

Data for crystalline Mg2TlPd4 at its relaxed geometry.

* formation enthalpy at 0 K: -0.340 eV/atom
* SG: I4/mmm, No. 139
* DFT total energy: -0.30140 Ry per atom

abc: 5.503 5.503 5.503
angles: 113.02 107.73 107.73
Sites, in units of the cell vectors:
Pd: 0.000 0.000 0.500
Tl: 0.000 0.000 0.000
Mg: 0.500 0.000 0.500
Pd: 0.000 0.500 0.000
Mg: 0.500 0.500 0.000
Pd: 0.500 0.500 0.500
Pd: 0.500 0.000 0.000

(6)
## Er2Sc2Ir3 (PBE)

Data for crystalline Er2Sc2Ir3 at its relaxed geometry.

* formation enthalpy at 0 K: -0.899 eV/atom
* SG: R-3m, No. 166
* DFT total energy: -0.57396 Ry per atom

abc: 4.605 4.606 8.224
angles: 90.00 106.26 119.99
Sites, in units of the cell vectors:
Ir: 0.508 0.254 0.763
Ir: 0.000 0.000 0.000
Sc: 0.748 0.374 0.122
Ir: 0.492 0.746 0.237
Er: 0.751 0.876 0.627
Er: 0.249 0.124 0.373
Sc: 0.252 0.626 0.878

(7)
## Be3AsCl (PBE)

Data for crystalline Be3AsCl at its relaxed geometry.

* formation energy (no corrections): 732 meV/atom
* SG: Pm-3m, No. 221
* excess energy over the best structure of this formula in the dataset: 0.00 kcal/mol of atoms
* DFT total energy: -0.20601 Ry per atom

abc: 4.412 4.412 4.412
angles: 90.00 90.00 90.00
Sites, in units of the cell vectors:
Cl: 0.500 0.500 0.500
As: 0.000 0.000 0.000
Be: 0.500 0.000 0.000
Be: 0.000 0.500 0.000
Be: 0.000 0.000 0.500

(8)
## TbLuTh2 (PBE)

Data for crystalline TbLuTh2 at its relaxed geometry.

* formation enthalpy at 0 K: 0.045 eV/atom
* SG: P4/mmm, No. 123
* excess energy over the best structure of this formula in the dataset: 0.10 kcal/mol of atoms
* DFT total energy: -0.43752 Ry per atom

abc: 3.548 3.548 10.018
angles: 90.00 90.00 90.00
Sites, in units of the cell vectors:
Th: 0.000 0.000 0.754
Th: 0.000 0.000 0.246
Lu: 0.500 0.500 0.000
Tb: 0.500 0.500 0.500

(9)
## LaPmSm6Er2 (PBE)

Data for crystalline LaPmSm6Er2 at its relaxed geometry.

* formation enthalpy at 0 K: 0.118 eV/atom
* SG: C2/c, No. 15
* DFT total energy: -0.33766 Ry per atom

abc: 9.687 8.910 8.910
angles: 116.88 93.73 93.73
Sites, in units of the cell vectors:
Sm: 0.119 0.705 0.485
Pm: 0.250 0.966 0.034
Er: 0.451 0.803 0.705
Sm: 0.943 0.891 0.241
Pm: 0.750 0.034 0.966
Er: 0.951 0.705 0.803
Sm: 0.557 0.759 0.109
Sm: 0.619 0.485 0.705
Sm: 0.179 0.563 0.018
La: 0.750 0.594 0.406
Sm: 0.821 0.437 0.982
Sm: 0.057 0.109 0.759
Sm: 0.679 0.018 0.563
Er: 0.549 0.197 0.295
Sm: 0.381 0.515 0.295
Sm: 0.443 0.241 0.891
Sm: 0.881 0.295 0.515
Sm: 0.321 0.982 0.437
Er: 0.049 0.295 0.197
La: 0.250 0.406 0.594

(10)
## KLiIn2Te4 (PBE)

Data for crystalline KLiIn2Te4 at its relaxed geometry.

* formation energy (no corrections): -565 meV/atom
* SG: I-42m, No. 121
* DFT total energy: -0.23495 Ry per atom

abc: 6.532 8.756 8.756
angles: 43.78 68.10 68.10
Sites, in units of the cell vectors:
Te: 0.583 0.417 0.859
Te: 0.141 0.859 0.417
Te: 0.859 0.583 0.141
K: 0.000 0.000 0.000
In: 0.750 0.750 0.750
Te: 0.417 0.141 0.583
In: 0.250 0.250 0.250
Li: 0.500 0.500 0.500

(11)
## Sm2ZnGa2Ni5 (PBE)

Data for crystalline Sm2ZnGa2Ni5 at its relaxed geometry.

* formation enthalpy at 0 K: -0.269 eV/atom
* SG: P4/mbm, No. 127
* DFT total energy: -0.35546 Ry per atom

abc: 3.278 9.839 9.839
angles: 90.00 90.00 90.00
Sites, in units of the cell vectors:
Ga: 0.000 0.125 0.625
Ni: 0.500 0.698 0.447
Zn: 0.000 0.500 0.500
Ni: 0.500 0.500 0.000
Ga: 0.000 0.875 0.375
Ga: 0.000 0.375 0.125
Ni: 0.500 0.553 0.698
Sm: 0.000 0.175 0.325
Ga: 0.000 0.625 0.875
Ni: 0.500 0.447 0.302
Sm: 0.000 0.675 0.175
Ni: 0.500 0.302 0.553
Sm: 0.000 0.325 0.825
Sm: 0.000 0.825 0.675
Ni: 0.500 0.000 0.500
Ni: 0.500 0.947 0.198
Zn: 0.000 0.000 0.000
Ni: 0.500 0.802 0.947
Ni: 0.500 0.053 0.802
Ni: 0.500 0.198 0.053

(12)
## ThSi2Ir5 (PBE)

Data for crystalline ThSi2Ir5 at its relaxed geometry.

* formation energy (no corrections): -761 meV/atom
* SG: Immm, No. 71
* DFT total energy: -0.63081 Ry per atom

abc: 3.932 6.253 6.253
angles: 67.10 71.67 71.67
Sites, in units of the cell vectors:
Si: 0.243 0.257 0.257
Th: 0.000 0.000 0.000
Ir: 0.645 0.154 0.555
Ir: 0.355 0.445 0.846
Ir: 0.645 0.555 0.154
Ir: 0.000 0.500 0.500
Ir: 0.355 0.846 0.445
Si: 0.757 0.743 0.743